Record 1
The following is a GGA-PBE calculation of a geometry-optimized BaNa2RePt structure, from Alexandria via LeMat-Bulk.

The structure in CIF format:
```
data_BaNa2RePt
_cell_length_a 5.455
_cell_length_b 5.455
_cell_length_c 4.909
_cell_angle_alpha 90.00
_cell_angle_beta 90.00
_cell_angle_gamma 90.00
_space_group_name_H-M_alt 'P 4/m m m'
_space_group_IT_number 123
_space_group_name_Hall '-P 4 2'
loop_
_atom_site_label
_atom_site_fract_x
_atom_site_fract_y
_atom_site_fract_z
Ba1 0.000 0.000 0.000
Na1 0.000 0.500 0.500
Re1 0.500 0.500 0.500
Pt1 0.500 0.500 0.000
```

Final energy   -3.94 eV/atom
DOS at the Fermi energy   2.92 states/eV/f.u.

---

Record 2
The following is a GGA-PBE calculation of a geometry-optimized Ba6NaPtRh structure, from Alexandria via LeMat-Bulk.

The structure in CIF format:
```
data_Ba6NaPtRh
_cell_length_a 8.1851
_cell_length_b 8.1851
_cell_length_c 7.9708
_cell_angle_alpha 90.00
_cell_angle_beta 90.00
_cell_angle_gamma 120.00
_space_group_name_H-M_alt 'P 3 1 2'
_space_group_IT_number 149
loop_
_space_group_symop_operation_xyz
'x,y,z'
'-y,x-y,z'
'-x+y,-x,z'
'-y,-x,-z'
'-x+y,y,-z'
'x,x-y,-z'
loop_
_atom_site_label
_atom_site_fract_x
_atom_site_fract_y
_atom_site_fract_z
Ba1 0.0398 0.3393 0.2185
Na1 0.6667 0.3333 0.5000
Pt1 0.0000 0.0000 0.0000
Rh1 0.3333 0.6667 0.0000
```

Final energy   -3.19 eV/atom
DOS at the Fermi energy   5.34 states/eV/f.u.

---

Record 3
The following is a GGA-PBE calculation of a geometry-optimized Ba6Na2PtS structure, from Alexandria via LeMat-Bulk.

The structure in CIF format:
```
data_Ba6Na2PtS
_cell_length_a 8.958
_cell_length_b 8.961
_cell_length_c 8.961
_cell_angle_alpha 90.04
_cell_angle_beta 119.97
_cell_angle_gamma 119.97
_space_group_name_H-M_alt 'P -1'
_space_group_IT_number 2
loop_
_space_group_symop_operation_xyz
'x,y,z'
'-x,-y,-z'
loop_
_atom_site_label
_atom_site_fract_x
_atom_site_fract_y
_atom_site_fract_z
Ba1 0.000 0.248 0.248
Ba2 0.001 0.249 0.753
Ba3 0.497 0.248 0.249
Na1 0.500 0.250 0.749
Pt1 0.000 0.000 0.000
S1 0.000 0.500 0.500
```

Uncorrected formation energy   -562 meV per atom
Final energy   -3.00 eV/atom
DOS at the Fermi energy   6.54 states/eV/f.u.

---

Record 4
The following is a GGA-PBE calculation of a geometry-optimized Ba2NaSb3Pt4 structure, from Alexandria via LeMat-Bulk.

The structure in CIF format:
```
data_Ba2NaSb3Pt4
_cell_length_a 4.759
_cell_length_b 4.759
_cell_length_c 10.846
_cell_angle_alpha 90.00
_cell_angle_beta 90.00
_cell_angle_gamma 90.00
_space_group_name_H-M_alt 'P -4 m 2'
_space_group_IT_number 115
loop_
_space_group_symop_operation_xyz
'x,y,z'
'y,-x,-z'
'-x,-y,z'
'-y,x,-z'
'-x,y,z'
'-y,-x,-z'
'x,-y,z'
'y,x,-z'
loop_
_atom_site_label
_atom_site_fract_x
_atom_site_fract_y
_atom_site_fract_z
Ba1 0.000 0.500 0.247
Na1 0.000 0.000 0.500
Sb1 0.000 0.500 0.877
Sb2 0.500 0.500 0.500
Pt1 0.000 0.000 0.000
Pt2 0.000 0.500 0.633
Pt3 0.500 0.500 0.000
```

Uncorrected formation energy   -759 meV per atom
Final energy   -4.93 eV/atom
DOS at the Fermi energy   4.04 states/eV/f.u.